No. 1
Below is crystalline Tb2PuTc at its relaxed geometry, with properties calculated at the GGA-PBE level.

POSCAR file:
```
Tb2PuTc
1.0
-2.439 2.044 -1.122
-3.178 -0.432 1.048
-0.060 7.235 8.235
Tc Tb Pu
1 2 1
direct
0.500 0.500 0.500
0.897 0.897 0.309
0.103 0.103 0.691
0.000 0.000 0.000
```

Computed properties:
Magnetization: 6.188 Bohr magnetons per cell
DOS(E_F): 12.33 states/eV/f.u.
Formation enthalpy at 0 K: 0.37 eV/atom
E above lowest polymorph: 1.79 eV/f.u.

***

No. 2
Below is crystalline Ho4TmIn2 at its relaxed geometry, with properties calculated at the GGA-PBE level.

POSCAR file:
```
Ho4TmIn2
1.0
-5.278 -0.271 -9.264
5.734 -1.896 -3.211
-3.365 -4.835 2.058
Ho In Tm
8 4 2
direct
0.667 0.000 0.999
0.333 0.000 0.001
0.719 0.499 0.498
0.167 0.500 0.001
0.219 0.001 0.502
0.781 0.999 0.498
0.833 0.500 0.999
0.281 0.501 0.502
0.500 0.805 0.534
0.000 0.305 0.534
0.000 0.695 0.466
0.500 0.195 0.466
0.500 0.500 0.000
0.000 0.000 0.000
```

Computed properties:
Magnetization: 0.000 Bohr magnetons per cell
DOS(E_F): 8.55 states/eV/f.u.
Formation enthalpy at 0 K: -0.09 eV/atom
E above lowest polymorph: 0.00 eV/f.u.

***

> The lowest E above lowest polymorph belongs to which entry?

Ho4TmIn2

***

> Number 2 is which compound?

Ho4TmIn2